Entry from Alexandria via LeMat-Bulk: crystalline ErAlP at its relaxed geometry (GGA-PBE).

## Properties
As for the symmetry: No. 166. As for the theoretical density: 5.3 Mg/m³. As for the total energy: -0.196 hartree per atom. The total magnetic moment is 0.0 μB per formula unit.

Lattice parameters (Å, degrees): 8.028 8.028 8.028 33.45 33.45 33.45
Positions (direct):
Er1 0.094 0.094 0.094
Er2 0.906 0.906 0.906
Al1 0.322 0.322 0.322
Al2 0.678 0.678 0.678
P1 0.217 0.217 0.217
P2 0.783 0.783 0.783